(1)
Entry from Alexandria: a relaxed structure of NaBe3Pd (PBE-GGA).

Unit cell a=4.146 b=4.146 c=4.146 alpha=90.00 beta=90.00 gamma=90.00
Atoms (fractional coordinates):
Na1 0.000 0.000 0.000
Be1 0.000 0.000 0.500
Be2 0.000 0.500 0.000
Be3 0.500 0.000 0.000
Pd1 0.500 0.500 0.500

Values from the calculation:
For the formation energy, the calculation gives 1647 meV/atom. Its magnetic moment is 0.0 μB per formula unit. The space group is Pm-3m, No. 221.

=====

(2)
Entry from Alexandria: a relaxed structure of Nd2Ho5Sc2 (PBE-GGA).

Unit cell a=6.058 b=6.064 c=7.825 alpha=82.40 beta=75.06 gamma=80.47
Atoms (fractional coordinates):
Nd1 0.221 0.444 0.112
Nd2 0.779 0.556 0.888
Ho1 0.000 0.000 0.000
Ho2 0.116 0.221 0.553
Ho3 0.448 0.887 0.230
Ho4 0.552 0.113 0.770
Ho5 0.884 0.779 0.447
Sc1 0.335 0.664 0.663
Sc2 0.665 0.336 0.337

Values from the calculation:
For the formation energy, the calculation gives 41 meV/atom. Its magnetic moment is 0.0 μB per formula unit. The space group is P-1, No. 2.